Density functional theory data (GGA-PBE) for an optimized crystal structure of MgMnTe2.

Unit cell a=5.2071 b=5.2071 c=5.2071 alpha=60.00 beta=60.00 gamma=60.00
Last column: nearest neighbours and their distance in Å.
Element x y z (fractional)
Mg 0.5000 0.5000 0.5000  4 Mn 3.19, 4 Te 3.19
Te 0.0000 0.0000 0.0000  4 Te 3.19, 4 Mn 3.19
Te 0.2500 0.2500 0.2500  4 Mg 3.19, 4 Te 3.19
Mn 0.7500 0.7500 0.7500  4 Te 3.19, 4 Mg 3.19

Calculated values
- final energy (eV per cell) = -15.76
- total magnetization (μB/f.u.) = 4.58
- E_form (uncorrected) (eV per atom) = 0.32
- D(E_F) (states/eV/atom) = 0.6640
- symmetry = F-43m (216)